*w*
Material: ScTeAsN2
Method: DFT, PBE-GGA
State: relaxed

The calculated volume comes out at 17.51 A^3/atom.

It has space group P4/mmm (No. 123), with a = 3.968 Å, b = 3.968 Å, c = 5.561 Å, α = 90.00°, β = 90.00° and γ = 90.00°. The inequivalent atoms are Sc at (0.000, 0.000, 0.000), Te at (0.500, 0.500, 0.000), As at (0.500, 0.500, 0.500) and N at (0.000, 0.500, 0.500).

*x*
Material: ScTeAsN2
Method: DFT, PBE-GGA
State: relaxed

The calculated volume comes out at 20.75 A^3/atom.

It has space group P4/mmm (No. 123), with a = 4.156 Å, b = 4.156 Å, c = 6.006 Å, α = 90.00°, β = 90.00° and γ = 90.00°. The inequivalent atoms are Sc at (0.000, 0.000, 0.000), Te at (0.000, 0.000, 0.500), As at (0.500, 0.500, 0.500) and N at (0.000, 0.500, 0.000).

Stability verdict: *x*, ahead by 0.029 eV/atom

*w*
Material: As2SeN
Method: DFT, PBE-GGA
State: relaxed

The calculated volume comes out at 15.86 A^3/atom.

It has space group Fm-3m (No. 225), with a = 6.332 Å, b = 6.332 Å, c = 6.332 Å, α = 90.00°, β = 90.00° and γ = 90.00°. The inequivalent atoms are As at (0.250, 0.250, 0.250), Se at (0.000, 0.000, 0.000) and N at (0.000, 0.000, 0.500).

*x*
Material: As2SeN
Method: DFT, PBE-GGA
State: relaxed

The calculated volume comes out at 20.55 A^3/atom.

It has space group I-42d (No. 122), with a = 5.190 Å, b = 5.190 Å, c = 12.203 Å, α = 90.00°, β = 90.00° and γ = 90.00°. The inequivalent atoms are As at (0.139, 0.250, 0.125), Se at (0.000, 0.000, 0.500) and N at (0.000, 0.000, 0.000).

Stability verdict: *x*, ahead by 0.612 eV/atom

*w*
Material: AsSe3N
Method: DFT, PBE-GGA
State: relaxed

The calculated volume comes out at 17.58 A^3/atom.

It has space group Pm-3m (No. 221), with a = 4.447 Å, b = 4.447 Å, c = 4.447 Å, α = 90.00°, β = 90.00° and γ = 90.00°. The inequivalent atoms are As at (0.000, 0.000, 0.000), Se at (0.000, 0.500, 0.500) and N at (0.500, 0.500, 0.500).

*x*
Material: AsSe3N
Method: DFT, PBE-GGA
State: relaxed

The calculated volume comes out at 26.46 A^3/atom.

It has space group Pm-3m (No. 221), with a = 5.096 Å, b = 5.096 Å, c = 5.096 Å, α = 90.00°, β = 90.00° and γ = 90.00°. The inequivalent atoms are As at (0.000, 0.000, 0.000), Se at (0.000, 0.000, 0.500) and N at (0.500, 0.500, 0.500).

Stability verdict: *w*, ahead by 0.546 eV/atom